DFT (PBE+U) results for a geometry-optimized VHgP2O structure.

Calculated values
Polymorph energy (0 for the lowest one) in meV per atom: 1468
Mass density in g cm⁻³: 5.49
SG: P4/mmm
Volume in Å³/atom: 19.94

```
data_VHgP2O
_chemical_formula_sum 'V1 Hg1 P2 O1'
_space_group_name_H-M_alt 'P 1'
_space_group_IT_number 1
_space_group_name_Hall 'P 1'
_cell_length_a 4.963
_cell_length_b 4.963
_cell_length_c 4.048
_cell_angle_alpha 90.00
_cell_angle_beta 90.00
_cell_angle_gamma 90.00
loop_
_atom_site_label
_atom_site_fract_x
_atom_site_fract_y
_atom_site_fract_z
P1 0.000 0.500 0.000
P2 0.500 0.000 0.000
Hg1 0.000 0.000 0.000
O1 0.000 0.000 0.500
V1 0.500 0.500 0.500
```